--- w ---
This record from the Alexandria database describes a relaxed structure of LiTl6Bi2. The functional is GGA-PBE.

The structure in CIF format:
```
data_LiTl6Bi2
_cell_length_a 5.5658
_cell_length_b 5.5658
_cell_length_c 32.4035
_cell_angle_alpha 90.00
_cell_angle_beta 90.00
_cell_angle_gamma 120.00
_space_group_name_H-M_alt 'R -3 m'
_space_group_IT_number 166
_space_group_name_Hall '-R 3 2"'
loop_
_atom_site_label
_atom_site_type_symbol
_atom_site_fract_x
_atom_site_fract_y
_atom_site_fract_z
Li1 Li 0.0000 0.0000 0.0000
Tl1 Tl 0.0000 0.0000 0.1952
Tl2 Tl 0.0000 0.0000 0.3047
Tl3 Tl 0.0000 0.0000 0.4125
Bi1 Bi 0.0000 0.0000 0.0898
```

***

--- x ---
This record from the Alexandria database describes a relaxed structure of LiTl6Bi2. The functional is GGA-PBE.

The structure in CIF format:
```
data_LiTl6Bi2
_cell_length_a 7.712
_cell_length_b 16.097
_cell_length_c 4.698
_cell_angle_alpha 90.00
_cell_angle_beta 107.19
_cell_angle_gamma 90.00
_space_group_name_H-M_alt 'C 1 2/m 1'
_space_group_IT_number 12
_space_group_name_Hall '-C 2y'
loop_
_atom_site_label
_atom_site_type_symbol
_atom_site_fract_x
_atom_site_fract_y
_atom_site_fract_z
Li1 Li 0.000 0.000 0.000
Tl1 Tl 0.173 0.500 0.325
Tl2 Tl 0.177 0.339 0.825
Bi1 Bi 0.000 0.147 0.500
```

***

Most stable = x